# 1
Density functional theory data (PBE) for a geometry-optimized La3PmPr4Se8 structure.

Raw formation energy, eV per atom: -1.903
Raw total energy, eV per cell: -290.9

Cell: 8.5569 8.5569 20.9332 Å, 90.00 90.00 120.00°
Space group R-3m (No. 166, hexagonal axes)
One atom of each set of equivalent atoms:
La (0.0000, 0.5000, 0.0000) x9
Pm (0.0000, 0.0000, 0.0000) x3
Pr (0.0000, 0.0000, 0.5000) x3
Pr (0.0000, 0.5000, 0.5000) x9
Se (0.0000, 0.0000, 0.2495) x6
Se (0.0036, 0.5018, 0.7495) x18

# 2
Density functional theory data (PBE) for a geometry-optimized Th4AlRh12 structure.

Energy of formation, meV per atom: -784
Raw total energy, eV per cell: -269.9

Cell: 8.443 8.443 8.443 Å, 90.00 90.00 90.00°
Space group Im-3m (No. 229)
One atom of each set of equivalent atoms:
Th (0.250, 0.250, 0.250) x8
Al (0.000, 0.000, 0.000) x2
Rh (0.000, 0.000, 0.284) x12
Rh (0.000, 0.250, 0.500) x12

# 3
Density functional theory data (PBE) for a geometry-optimized Cr2PRu structure.

Energy of formation, meV per atom: 198
Raw total energy, eV per cell: -66.3

Cell: 2.945 4.491 7.621 Å, 90.00 90.00 90.00°
Space group Cmm2 (No. 35)
One atom of each set of equivalent atoms:
Cr (0.000, 0.000, 0.000) x2
Cr (0.000, 0.500, 0.244) x2
P (0.000, 0.500, 0.767) x2
Ru (0.000, 0.000, 0.525) x2

# 4
Density functional theory data (PBE) for a geometry-optimized LiSmTm2Se4 structure.

Raw formation energy, eV per atom: -1.721
Raw total energy, eV per cell: -43.3

Cell: 7.030 4.030 7.033 Å, 90.00 109.16 90.00°
Space group P2/m (No. 10)
One atom of each set of equivalent atoms:
Li (0.000, 0.000, 0.000) x1
Sm (0.500, 0.500, 0.000) x1
Tm (0.000, 0.500, 0.500) x1
Tm (0.500, 0.000, 0.500) x1
Se (0.238, 0.000, 0.744) x2
Se (0.244, 0.500, 0.252) x2

# 5
Density functional theory data (PBE) for a geometry-optimized LaDy3Ho structure.

Energy of formation, meV per atom: 179
Energy above the most stable polymorph in this dataset, eV/f.u.: 0.00
Raw total energy, eV per cell: -89.7

Cell: 5.487 11.848 10.433 Å, 90.00 90.00 90.00°
Space group Cmcm (No. 63)
One atom of each set of equivalent atoms:
La (0.000, 0.050, 0.250) x4
Dy (0.000, 0.193, 0.563) x8
Dy (0.000, 0.327, 0.250) x4
Ho (0.000, 0.500, 0.000) x4

# 6
Density functional theory data (PBE) for a geometry-optimized Mg3TeS structure.

Raw formation energy, eV per atom: -0.378
Energy above the most stable polymorph in this dataset, eV/f.u.: 0.00
Raw total energy, eV per cell: -13.9

Cell: 5.008 5.008 5.008 Å, 90.00 90.00 90.00°
Space group Pm-3m (No. 221)
One atom of each set of equivalent atoms:
Mg (0.000, 0.000, 0.500) x3
Te (0.500, 0.500, 0.500) x1
S (0.000, 0.000, 0.000) x1

- The lowest raw total energy belongs to which entry?
  La3PmPr4Se8